The following is a DFT calculation (GGA+U) of a relaxed PmTlFeO3 crystal.

Its final energy is -6.56 eV/atom. The value obtained for the volume is 420.5 Å³ per cell.

The space group is C2/m (No. 12) and the conventional cell measures 13.2602, 3.9182 and 8.4632 Å, with angles of 90.00, 107.00 and 90.00 degrees. The asymmetric unit holds Pm at (0.1505, 0.0000, 0.0679), Tl at (0.1538, 0.0000, 0.6172), Fe at (0.0014, 0.5000, 0.2164), O at (0.0032, 0.0000, 0.8266), O at (0.1577, 0.5000, 0.2266) and O at (0.1641, 0.5000, 0.8680).